Here is CsSi3HO7 after structural relaxation from the Alexandria database. Energies are from PBEsol.

Cell: 4.9505 10.4583 14.0623 Å, 90.00 90.00 90.00°
Element x y z (fractional)
Cs 0.0384 0.0916 0.2569
Cs 0.4616 0.9084 0.7569
Cs 0.5384 0.4084 0.7431
Cs 0.9616 0.5916 0.2431
Si 0.0517 0.9170 0.5082
Si 0.0558 0.6501 0.6088
Si 0.1194 0.2043 0.5573
Si 0.3806 0.7957 0.0573
Si 0.4442 0.3499 0.1088
Si 0.4483 0.0830 0.0082
Si 0.5517 0.5830 0.4918
Si 0.5558 0.8499 0.3912
Si 0.6194 0.2957 0.4427
Si 0.8806 0.7043 0.9427
Si 0.9442 0.1501 0.8912
Si 0.9483 0.4170 0.9918
H 0.0452 0.6904 0.7835
H 0.4548 0.3096 0.2835
H 0.5452 0.8096 0.2165
H 0.9548 0.1904 0.7165
O 0.0297 0.2589 0.6591
O 0.0799 0.7413 0.0314
O 0.0863 0.8047 0.5873
O 0.1333 0.6192 0.7158
O 0.1383 0.0473 0.5617
O 0.2421 0.5740 0.5298
O 0.2415 0.8897 0.4157
O 0.2585 0.1103 0.9157
O 0.2579 0.4260 0.0298
O 0.3617 0.9527 0.0617
O 0.3667 0.3808 0.2158
O 0.4137 0.1953 0.0873
O 0.4201 0.2587 0.5314
O 0.4703 0.7411 0.1591
O 0.5297 0.2411 0.3409
O 0.5799 0.7587 0.9686
O 0.5863 0.6953 0.4127
O 0.6333 0.8808 0.2842
O 0.6383 0.4527 0.4383
O 0.7415 0.6103 0.5843
O 0.7421 0.9260 0.4702
O 0.7579 0.0740 0.9702
O 0.7585 0.3897 0.0843
O 0.8617 0.5473 0.9383
O 0.8667 0.1192 0.7842
O 0.9137 0.3047 0.9127
O 0.9201 0.2413 0.4686
O 0.9703 0.7589 0.8409

Results
**N(E_F)**: 0.0000 states/eV/atom
**Energy**: -7.3787 eV per atom
**Total magnetic moment**: 0.00 μB/f.u.

Here is Al3PdCl after structural relaxation from the Alexandria database. Energies are from PBEsol.

Cell: 4.7439 4.7439 4.7439 Å, 90.00 90.00 90.00°
Element x y z (fractional)
Al 0.0000 0.0000 0.5000
Al 0.0000 0.5000 0.0000
Al 0.5000 0.0000 0.0000
Pd 0.0000 0.0000 0.0000
Cl 0.5000 0.5000 0.5000

Results
**N(E_F)**: 0.0339 states/eV/atom
**E_form (uncorrected)**: -0.36 eV/atom
**Total magnetic moment**: 0.00 μB/f.u.

Here is SrCaCo2 after structural relaxation from the Alexandria database. Energies are from PBEsol.

Cell: 5.5402 5.5402 5.5402 Å, 135.91 135.91 64.12°
Element x y z (fractional)
Sr 0.0000 0.0000 0.0000
Ca 0.7500 0.2500 0.5000
Co 0.2500 0.7500 0.5000
Co 0.5000 0.5000 0.0000

Results
**N(E_F)**: 2.0861 states/eV/atom
**Total magnetic moment**: 2.20 μB/f.u.
**Energy above the most stable polymorph in this dataset**: 35.1 kJ/mol of formula units

Here is Ba2Cu3P4 after structural relaxation from the Alexandria database. Energies are from PBEsol.

Cell: 8.2632 8.2632 8.2632 Å, 111.88 84.32 136.58°
Element x y z (fractional)
Ba 0.1089 0.2035 0.3123
Ba 0.3911 0.7035 0.0946
Ba 0.6089 0.2965 0.9054
Ba 0.8911 0.7965 0.6877
Cu 0.0299 0.7500 0.2799
Cu 0.2500 0.7500 0.5000
Cu 0.4701 0.7500 0.7201
Cu 0.5299 0.2500 0.2799
Cu 0.7500 0.2500 0.5000
Cu 0.9701 0.2500 0.7201
P 0.1207 0.6323 0.7530
P 0.1613 0.8690 0.0303
P 0.3387 0.3690 0.7078
P 0.3793 0.1323 0.5116
P 0.6207 0.8677 0.4884
P 0.6613 0.6310 0.2922
P 0.8387 0.1310 0.9697
P 0.8793 0.3677 0.2470

Results
**N(E_F)**: 0.2923 states/eV/atom
**Energy**: -5.1231 eV per atom
**Total magnetic moment**: 0.00 μB/f.u.

Here is SrBePd3 after structural relaxation from the Alexandria database. Energies are from PBEsol.

Cell: 4.3714 4.3714 4.3714 Å, 90.00 90.00 90.00°
Element x y z (fractional)
Sr 0.0000 0.0000 0.0000
Be 0.5000 0.5000 0.5000
Pd 0.0000 0.5000 0.5000
Pd 0.5000 0.0000 0.5000
Pd 0.5000 0.5000 0.0000

Results
**N(E_F)**: 0.1850 states/eV/atom
**Energy**: -5.2410 eV per atom
**Total magnetic moment**: 0.00 μB/f.u.

Here is MnCo3 after structural relaxation from the Alexandria database. Energies are from PBEsol.

Cell: 4.8998 4.8998 3.9063 Å, 90.00 90.00 120.00°
Element x y z (fractional)
Mn 0.3333 0.6667 0.2500
Mn 0.6667 0.3333 0.7500
Co 0.1658 0.3317 0.7500
Co 0.1658 0.8342 0.7500
Co 0.3317 0.1658 0.2500
Co 0.6683 0.8342 0.7500
Co 0.8342 0.1658 0.2500
Co 0.8342 0.6683 0.2500

Results
**N(E_F)**: 1.0582 states/eV/atom
**Energy**: -8.2148 eV per atom
**Total magnetic moment**: 0.09 μB/f.u.